Entry 1:
This record from the Alexandria database describes crystalline BaSbBr2 at its relaxed geometry. The functional is PBE-GGA.

Geometry as CIF:
```
data_BaSbBr2
_chemical_formula_sum 'Ba4 Sb4 Br8'
_cell_length_a 8.2926
_cell_length_b 8.2926
_cell_length_c 8.2926
_cell_angle_alpha 90.00
_cell_angle_beta 90.00
_cell_angle_gamma 90.00
_symmetry_space_group_name_H-M 'P 1'
_symmetry_Int_Tables_number 1
_symmetry_space_group_name_Hall 'P 1'
loop_
_atom_site_label
_atom_site_fract_x
_atom_site_fract_y
_atom_site_fract_z
_atom_site_occupancy
Ba1 0.0000 0.0000 0.0000 1
Ba2 0.0000 0.5000 0.5000 1
Ba3 0.5000 0.0000 0.5000 1
Ba4 0.5000 0.5000 0.0000 1
Sb1 0.2500 0.2500 0.2500 1
Sb2 0.2500 0.7500 0.7500 1
Sb3 0.7500 0.2500 0.7500 1
Sb4 0.7500 0.7500 0.2500 1
Br1 0.0000 0.0000 0.5000 1
Br2 0.0000 0.5000 0.0000 1
Br3 0.2500 0.2500 0.7500 1
Br4 0.2500 0.7500 0.2500 1
Br5 0.5000 0.0000 0.0000 1
Br6 0.5000 0.5000 0.5000 1
Br7 0.7500 0.2500 0.2500 1
Br8 0.7500 0.7500 0.7500 1
```

Computed properties:
**M_tot**: 3.00 μB per formula unit
**E above lowest polymorph**: 384 meV per atom
**Space group**: F-43m, No. 216

Entry 2:
This record from the Alexandria database describes crystalline Hf2PaAg at its relaxed geometry. The functional is PBE-GGA.

Geometry as CIF:
```
data_Hf2PaAg
_chemical_formula_sum 'Hf6 Pa3 Ag3'
_cell_length_a 3.0515
_cell_length_b 3.0515
_cell_length_c 32.8867
_cell_angle_alpha 90.00
_cell_angle_beta 90.00
_cell_angle_gamma 120.00
_symmetry_space_group_name_H-M 'P 1'
_symmetry_Int_Tables_number 1
_symmetry_space_group_name_Hall 'P 1'
loop_
_atom_site_label
_atom_site_fract_x
_atom_site_fract_y
_atom_site_fract_z
_atom_site_occupancy
Hf1 0.0000 0.0000 0.0910 1
Hf2 0.0000 0.0000 0.9090 1
Hf3 0.3333 0.6667 0.5756 1
Hf4 0.3333 0.6667 0.7577 1
Hf5 0.6667 0.3333 0.2423 1
Hf6 0.6667 0.3333 0.4244 1
Pa1 0.0000 0.0000 0.0000 1
Pa2 0.3333 0.6667 0.6667 1
Pa3 0.6667 0.3333 0.3333 1
Ag1 0.0000 0.0000 0.5000 1
Ag2 0.3333 0.6667 0.1667 1
Ag3 0.6667 0.3333 0.8333 1
```

Computed properties:
**Energy of formation from the pure elements**: 0.340 eV per atom
**M_tot**: 0.00 μB per formula unit
**E above lowest polymorph**: 301 meV per atom
**Space group**: R-3m, No. 166

Entry 3:
This record from the Alexandria database describes crystalline Pt2C at its relaxed geometry. The functional is PBE-GGA.

Geometry as CIF:
```
data_Pt2C
_chemical_formula_sum 'Pt4 C2'
_cell_length_a 4.1038
_cell_length_b 4.1038
_cell_length_c 4.8323
_cell_angle_alpha 90.00
_cell_angle_beta 90.00
_cell_angle_gamma 90.00
_symmetry_space_group_name_H-M 'P 1'
_symmetry_Int_Tables_number 1
_symmetry_space_group_name_Hall 'P 1'
loop_
_atom_site_label
_atom_site_fract_x
_atom_site_fract_y
_atom_site_fract_z
_atom_site_occupancy
Pt1 0.2500 0.2500 0.0340 1
Pt2 0.2500 0.7500 0.5000 1
Pt3 0.7500 0.2500 0.5000 1
Pt4 0.7500 0.7500 0.9660 1
C1 0.2500 0.2500 0.6323 1
C2 0.7500 0.7500 0.3677 1
```

Computed properties:
**Energy of formation from the pure elements**: 0.757 eV per atom
**M_tot**: 0.00 μB per formula unit
**E above lowest polymorph**: 200 meV per atom
**Space group**: P4/nmm, No. 129

Entry 4:
This record from the Alexandria database describes crystalline FeNi3Rh2 at its relaxed geometry. The functional is PBE-GGA.

Geometry as CIF:
```
data_FeNi3Rh2
_chemical_formula_sum 'Fe2 Ni6 Rh4'
_cell_length_a 5.7464
_cell_length_b 5.7464
_cell_length_c 4.6963
_cell_angle_alpha 90.00
_cell_angle_beta 90.00
_cell_angle_gamma 98.57
_symmetry_space_group_name_H-M 'P 1'
_symmetry_Int_Tables_number 1
_symmetry_space_group_name_Hall 'P 1'
loop_
_atom_site_label
_atom_site_fract_x
_atom_site_fract_y
_atom_site_fract_z
_atom_site_occupancy
Fe1 0.0647 0.9353 0.7500 1
Fe2 0.9353 0.0647 0.2500 1
Ni1 0.2884 0.2884 0.0000 1
Ni2 0.2884 0.2884 0.5000 1
Ni3 0.3351 0.6649 0.7500 1
Ni4 0.6649 0.3351 0.2500 1
Ni5 0.7116 0.7116 0.0000 1
Ni6 0.7116 0.7116 0.5000 1
Rh1 0.0710 0.5939 0.2500 1
Rh2 0.4061 0.9290 0.2500 1
Rh3 0.5939 0.0710 0.7500 1
Rh4 0.9290 0.4061 0.7500 1
```

Computed properties:
**Energy of formation from the pure elements**: 0.103 eV per atom
**M_tot**: 6.40 μB per formula unit
**E above lowest polymorph**: 90 meV per atom
**Space group**: Cmcm, No. 63

Entry 5:
This record from the Alexandria database describes crystalline Rb3TiCu at its relaxed geometry. The functional is PBE-GGA.

Geometry as CIF:
```
data_Rb3TiCu
_chemical_formula_sum 'Rb3 Ti1 Cu1'
_cell_length_a 6.5163
_cell_length_b 6.5163
_cell_length_c 6.5163
_cell_angle_alpha 90.00
_cell_angle_beta 90.00
_cell_angle_gamma 90.00
_symmetry_space_group_name_H-M 'P 1'
_symmetry_Int_Tables_number 1
_symmetry_space_group_name_Hall 'P 1'
loop_
_atom_site_label
_atom_site_fract_x
_atom_site_fract_y
_atom_site_fract_z
_atom_site_occupancy
Rb1 0.0000 0.0000 0.5000 1
Rb2 0.0000 0.5000 0.0000 1
Rb3 0.5000 0.0000 0.0000 1
Ti1 0.5000 0.5000 0.5000 1
Cu1 0.0000 0.0000 0.0000 1
```

Computed properties:
**Energy of formation from the pure elements**: 1.179 eV per atom
**M_tot**: 0.00 μB per formula unit
**E above lowest polymorph**: 0 meV per atom
**Space group**: Pm-3m, No. 221

Entry 6:
This record from the Alexandria database describes crystalline K2BePb at its relaxed geometry. The functional is PBE-GGA.

Geometry as CIF:
```
data_K2BePb
_chemical_formula_sum 'K2 Be1 Pb1'
_cell_length_a 3.8620
_cell_length_b 3.8620
_cell_length_c 10.2690
_cell_angle_alpha 90.00
_cell_angle_beta 90.00
_cell_angle_gamma 90.00
_symmetry_space_group_name_H-M 'P 1'
_symmetry_Int_Tables_number 1
_symmetry_space_group_name_Hall 'P 1'
loop_
_atom_site_label
_atom_site_fract_x
_atom_site_fract_y
_atom_site_fract_z
_atom_site_occupancy
K1 0.0000 0.0000 0.0000 1
K2 0.5000 0.5000 0.3897 1
Be1 0.5000 0.5000 0.7137 1
Pb1 0.0000 0.0000 0.6640 1
```

Computed properties:
**Energy of formation from the pure elements**: 0.389 eV per atom
**M_tot**: 0.00 μB per formula unit
**E above lowest polymorph**: 222 meV per atom
**Space group**: P4mm, No. 99